First-principles (PBE) data for SrBiSe2Br after structural relaxation, as listed in the Alexandria database.

For the total magnetic moment, the calculation gives 0.00 μB/f.u. The value obtained for the total energy is -3.600 eV/atom. Its uncorrected formation energy is -0.759 eV/atom. As for the distance to the lowest polymorph of the same formula: 0.000 eV/atom.

a = 5.6210 Å, b = 5.6210 Å, c = 5.5594 Å
α = 90.00°, β = 90.00°, γ = 90.00°
With the nearest neighbours (Å) after each atom.
Sites, in units of the cell vectors:
1 Sr 0.0000 0.0000 0.0000  8 Se 3.95, 4 Br 3.97
2 Bi 0.5000 0.5000 0.5000  2 Br 2.78, 4 Se 2.81
3 Se 0.0000 0.5000 0.5000  2 Bi 2.81
4 Se 0.5000 0.0000 0.5000  2 Bi 2.81
5 Br 0.5000 0.5000 0.0000  2 Bi 2.78



First-principles (PBE) data for Er3Ga6Pt5 after structural relaxation, as listed in the Alexandria database.

For the total magnetic moment, the calculation gives 0.00 μB/f.u. The value obtained for the total energy is -5.403 eV/atom. The formation energy comes out at -93.6 kJ per mole of atoms.

a = 4.2750 Å, b = 12.6294 Å, c = 9.3701 Å
α = 90.00°, β = 90.00°, γ = 90.00°
With the nearest neighbours (Å) after each atom.
Sites, in units of the cell vectors:
1 Er 0.2500 0.0486 0.2483  8 Ga 2.98-3.23, 4 Pt 3.05-3.13
2 Er 0.2500 0.4514 0.2483  8 Ga 2.98-3.23, 4 Pt 3.05-3.13
3 Er 0.2500 0.7500 0.2447  6 Pt 2.99-3.09, 2 Ga 3.26
4 Er 0.7500 0.2500 0.7553  6 Pt 2.99-3.09, 2 Ga 3.26
5 Er 0.7500 0.5486 0.7517  8 Ga 2.98-3.23, 4 Pt 3.05-3.13
6 Er 0.7500 0.9514 0.7517  8 Ga 2.98-3.23, 4 Pt 3.05-3.13
7 Ga 0.2500 0.0714 0.9048  4 Pt 2.56-2.63, 1 Ga 2.80
8 Ga 0.2500 0.2500 0.0820  6 Pt 2.65-2.90, 2 Ga 2.80
9 Ga 0.2500 0.2500 0.4505  4 Pt 2.56-2.61
10 Ga 0.2500 0.4286 0.9048  4 Pt 2.56-2.63, 1 Ga 2.80
11 Ga 0.2500 0.5950 0.5233  4 Pt 2.59-2.65
12 Ga 0.2500 0.9050 0.5233  4 Pt 2.59-2.65
13 Ga 0.7500 0.0950 0.4767  4 Pt 2.59-2.65
14 Ga 0.7500 0.4050 0.4767  4 Pt 2.59-2.65
15 Ga 0.7500 0.5714 0.0952  4 Pt 2.56-2.63, 1 Ga 2.80
16 Ga 0.7500 0.7500 0.5495  4 Pt 2.56-2.61
17 Ga 0.7500 0.7500 0.9180  6 Pt 2.65-2.90, 2 Ga 2.80
18 Ga 0.7500 0.9286 0.0952  4 Pt 2.56-2.63, 1 Ga 2.80
19 Pt 0.2500 0.0984 0.6319  5 Ga 2.56-2.65
20 Pt 0.2500 0.4016 0.6319  5 Ga 2.56-2.65
21 Pt 0.2500 0.6316 0.9680  5 Ga 2.56-2.65, 1 Pt 2.85
22 Pt 0.2500 0.7500 0.7089  6 Ga 2.61-2.90, 2 Pt 2.85
23 Pt 0.2500 0.8684 0.9680  5 Ga 2.56-2.65, 1 Pt 2.85
24 Pt 0.7500 0.1316 0.0320  5 Ga 2.56-2.65, 1 Pt 2.85
25 Pt 0.7500 0.2500 0.2911  6 Ga 2.61-2.90, 2 Pt 2.85
26 Pt 0.7500 0.3684 0.0320  5 Ga 2.56-2.65, 1 Pt 2.85
27 Pt 0.7500 0.5984 0.3681  5 Ga 2.56-2.65
28 Pt 0.7500 0.9016 0.3681  5 Ga 2.56-2.65